A plane-wave DFT calculation with PBE-GGA was carried out for an optimized crystal structure of Ta2W11.

Cell and atoms, written as extended XYZ:
```
13
Lattice="-8.337 0.206 5.212 -4.811 -2.077 8.322 -4.943 3.132 7.904" Properties=species:S:1:pos:R:3 pbc="T T T"
Ta -8.191 0.571 9.706
Ta -9.900 0.690 11.732
W 0.000 0.000 0.000
W -5.771 0.217 4.528
W -4.026 -0.913 6.068
W -3.033 0.211 3.594
W -6.318 0.440 7.487
W -14.000 -0.404 15.578
W -4.091 1.665 5.861
W -11.773 0.821 13.951
W -15.059 1.050 17.845
W -14.066 2.174 15.371
W -12.321 1.044 16.910
```

SG   R-3m, No. 166
Total energy   -12.4841 eV/atom
Formation enthalpy at 0 K   0.306 eV/atom